# Hf3SiF

A relaxed Hf3SiF crystal (PBE-GGA, Alexandria via LeMat-Bulk).

POSCAR file:
```
Hf3SiF
1.0
4.419 0.000 0.000
0.000 4.419 0.000
0.000 0.000 4.419
Si Hf F
1 3 1
direct
0.500 0.500 0.500
0.000 0.500 0.000
0.000 0.000 0.500
0.500 0.000 0.000
0.000 0.000 0.000
```

Computed properties:
The size of the total moment comes out at 0.00 μB per formula unit. The calculation puts the excess energy over the best structure of this formula in the dataset at 0 meV/atom. For the formation energy without anion corrections, the calculation gives -404 meV per atom. Its crystal system is cubic.